Record 1
Below is a relaxed SmLuAg crystal, with properties calculated at the PBE level.

Lattice parameters (Å, degrees): 6.9136 6.9136 6.9136 90.00 90.00 90.00
Positions (direct):
Sm 0.0000 0.0000 0.0000
Sm 0.0000 0.5000 0.5000
Sm 0.5000 0.0000 0.5000
Sm 0.5000 0.5000 0.0000
Lu 0.2500 0.2500 0.7500
Lu 0.2500 0.7500 0.2500
Lu 0.7500 0.2500 0.2500
Lu 0.7500 0.7500 0.7500
Ag 0.0000 0.0000 0.5000
Ag 0.0000 0.5000 0.0000
Ag 0.5000 0.0000 0.0000
Ag 0.5000 0.5000 0.5000

The value obtained for the formation energy is 0.470 eV per atom.

---

Record 2
Below is a relaxed LuAg2Sn2 crystal, with properties calculated at the PBE level.

Lattice parameters (Å, degrees): 4.7485 4.7485 6.2195 90.00 90.00 120.00
Positions (direct):
Lu 0.0000 0.0000 0.0000
Ag 0.3333 0.6667 0.7627
Ag 0.6667 0.3333 0.2373
Sn 0.3333 0.6667 0.2786
Sn 0.6667 0.3333 0.7214

---

Record 3
Below is a relaxed LuAg2Sn crystal, with properties calculated at the PBE level.

Lattice parameters (Å, degrees): 6.9648 6.9648 6.9648 90.00 90.00 90.00
Positions (direct):
Lu 0.0000 0.0000 0.0000
Lu 0.0000 0.5000 0.5000
Lu 0.5000 0.0000 0.5000
Lu 0.5000 0.5000 0.0000
Ag 0.0000 0.0000 0.5000
Ag 0.0000 0.5000 0.0000
Ag 0.2500 0.2500 0.2500
Ag 0.2500 0.7500 0.7500
Ag 0.5000 0.0000 0.0000
Ag 0.5000 0.5000 0.5000
Ag 0.7500 0.2500 0.7500
Ag 0.7500 0.7500 0.2500
Sn 0.2500 0.2500 0.7500
Sn 0.2500 0.7500 0.2500
Sn 0.7500 0.2500 0.2500
Sn 0.7500 0.7500 0.7500

---

Record 4
Below is a relaxed SrLu2Ag crystal, with properties calculated at the PBE level.

Lattice parameters (Å, degrees): 7.7556 7.7556 7.7556 90.00 90.00 90.00
Positions (direct):
Sr 0.0000 0.0000 0.0000
Sr 0.0000 0.5000 0.5000
Sr 0.5000 0.0000 0.5000
Sr 0.5000 0.5000 0.0000
Lu 0.0000 0.0000 0.5000
Lu 0.0000 0.5000 0.0000
Lu 0.2500 0.2500 0.7500
Lu 0.2500 0.7500 0.2500
Lu 0.5000 0.0000 0.0000
Lu 0.5000 0.5000 0.5000
Lu 0.7500 0.2500 0.2500
Lu 0.7500 0.7500 0.7500
Ag 0.2500 0.2500 0.2500
Ag 0.2500 0.7500 0.7500
Ag 0.7500 0.2500 0.7500
Ag 0.7500 0.7500 0.2500

---

| no. | total energy (eV per atom) |
| --- | --- |
| 1 | -3.550 |
| 2 | -3.822 |
| 3 | -3.821 |
| 4 | -3.182 |